This record from the Alexandria database describes a relaxed Na2YZr2S6 crystal. The functional is PBE-GGA.

Properties
Total energy   -6.259 eV per atom
Energy relative to the elements, uncorrected   -1626.3 meV per atom

a = 6.5170 Å, b = 11.3769 Å, c = 7.1780 Å
α = 90.00°, β = 107.41°, γ = 90.00°
With the nearest neighbours (Å) after each atom.
Space group C2/m (No. 12)
Asymmetric unit:
Na (0.0000, 0.1638, 0.0000) x4  6 S 2.86-2.92
Y (0.0000, 0.0000, 0.5000) x2  6 S 2.73
Zr (0.0000, 0.3339, 0.5000) x4  6 S 2.61-2.62
S (0.2248, 0.5000, 0.7210) x4  2 Zr 2.62, 1 Y 2.73, 2 Na 2.92
S (0.2446, 0.1743, 0.7199) x8  2 Zr 2.61-2.62, 1 Y 2.73, 2 Na 2.86-2.92